1.
This record from Alexandria describes a geometry-optimized AlSi2W2 structure. The functional is PBE.

a b c (Å): 6.5889 6.5889 3.3275
angles (deg): 90.00 90.00 90.00
Last column: nearest neighbours and their distance in Å.
Atoms (fractional coordinates):
Si (0.3684, 0.8684, 0.0000)  1 Si 2.45, 6 W 2.53-2.57, 2 Al 2.58
Si (0.8684, 0.6316, 0.0000)  1 Si 2.45, 6 W 2.53-2.57, 2 Al 2.58
Si (0.6316, 0.1316, 0.0000)  1 Si 2.45, 6 W 2.53-2.57, 2 Al 2.58
Si (0.1316, 0.3684, 0.0000)  1 Si 2.45, 6 W 2.53-2.57, 2 Al 2.58
Al (0.0000, 0.0000, 0.0000)  4 Si 2.58
Al (0.5000, 0.5000, 0.0000)  4 Si 2.58
W (0.1639, 0.6639, 0.5000)  6 Si 2.53-2.57
W (0.6639, 0.8361, 0.5000)  6 Si 2.53-2.57
W (0.8361, 0.3361, 0.5000)  6 Si 2.53-2.57
W (0.3361, 0.1639, 0.5000)  6 Si 2.53-2.57

Summary:
Formation energy without anion corrections   0.0194 eV/atom

=====

2.
This record from Alexandria describes a geometry-optimized TbTlHgSe3 structure. The functional is PBE.

a b c (Å): 4.2750 8.8932 10.0966
angles (deg): 106.55 90.00 90.00
Last column: nearest neighbours and their distance in Å.
Atoms (fractional coordinates):
Tb (0.2500, 0.6748, 0.1389)  6 Se 2.84-3.08
Tb (0.7500, 0.3252, 0.8611)  6 Se 2.84-3.08
Tl (0.2500, 0.2163, 0.2237)  5 Se 3.26-3.49
Tl (0.7500, 0.7837, 0.7763)  5 Se 3.26-3.49
Hg (0.2500, 0.0897, 0.6136)  4 Se 2.66-2.90
Hg (0.7500, 0.9103, 0.3864)  4 Se 2.66-2.90
Se (0.7500, 0.8942, 0.1196)  1 Hg 2.66, 2 Tb 2.94
Se (0.2500, 0.1058, 0.8804)  1 Hg 2.66, 2 Tb 2.94
Se (0.2500, 0.7613, 0.4564)  3 Hg 2.71-2.90
Se (0.7500, 0.2387, 0.5436)  3 Hg 2.71-2.90
Se (0.7500, 0.4597, 0.1526)  3 Tb 2.84-2.90
Se (0.2500, 0.5403, 0.8474)  3 Tb 2.84-2.90

Summary:
Formation energy without anion corrections   -0.9349 eV/atom

=====

3.
This record from Alexandria describes a geometry-optimized Mg11In9Pd4 structure. The functional is PBE.

a b c (Å): 3.4585 12.5055 12.5055
angles (deg): 111.75 90.00 90.00
Last column: nearest neighbours and their distance in Å.
Atoms (fractional coordinates):
Mg (0.0000, 0.5818, 0.9274)  2 Pd 2.72, 4 In 3.01-3.02
Mg (0.0000, 0.4182, 0.0726)  2 Pd 2.72, 4 In 3.01-3.02
Mg (0.0000, 0.9274, 0.5818)  2 Pd 2.72, 4 In 3.01-3.02
Mg (0.0000, 0.0726, 0.4182)  2 Pd 2.72, 4 In 3.01-3.02
Mg (0.0000, 0.6274, 0.3726)  4 Pd 2.77
Mg (0.0000, 0.3726, 0.6274)  4 Pd 2.77
Mg (0.0000, 0.8442, 0.1558)  8 In 3.16, 5 Mg 3.23-3.46
Mg (0.0000, 0.1558, 0.8442)  8 In 3.16, 5 Mg 3.23-3.46
Mg (0.0000, 0.0000, 0.0000)  8 In 3.09, 4 Mg 3.23-3.46
Mg (0.0000, 0.6884, 0.6884)  4 Pd 2.76
Mg (0.0000, 0.3116, 0.3116)  4 Pd 2.76
In (0.5000, 0.6316, 0.1516)  1 Pd 2.95, 8 Mg 3.02-3.28, 1 In 3.04
In (0.5000, 0.3684, 0.8484)  1 Pd 2.95, 8 Mg 3.02-3.28, 1 In 3.04
In (0.5000, 0.1516, 0.6316)  1 Pd 2.95, 8 Mg 3.02-3.28, 1 In 3.04
In (0.5000, 0.8484, 0.3684)  1 Pd 2.95, 8 Mg 3.02-3.28, 1 In 3.04
In (0.5000, 0.7795, 0.9290)  1 Pd 2.92, 6 Mg 3.01-3.16, 1 In 3.09
In (0.5000, 0.2205, 0.0710)  1 Pd 2.92, 6 Mg 3.01-3.16, 1 In 3.09
In (0.5000, 0.9290, 0.7795)  1 Pd 2.92, 6 Mg 3.01-3.16, 1 In 3.09
In (0.5000, 0.0710, 0.2205)  1 Pd 2.92, 6 Mg 3.01-3.16, 1 In 3.09
In (0.5000, 0.5000, 0.5000)  4 Pd 2.95, 8 Mg 3.15-3.16
Pd (0.5000, 0.5490, 0.7497)  6 Mg 2.72-2.77, 3 In 2.92-2.95
Pd (0.5000, 0.4510, 0.2503)  6 Mg 2.72-2.77, 3 In 2.92-2.95
Pd (0.5000, 0.7497, 0.5490)  6 Mg 2.72-2.77, 3 In 2.92-2.95
Pd (0.5000, 0.2503, 0.4510)  6 Mg 2.72-2.77, 3 In 2.92-2.95

Summary:
Energy of formation from the pure elements   -7.64 eV/f.u.

=====

4.
This record from Alexandria describes a geometry-optimized CaPmY2Se4 structure. The functional is PBE.

a b c (Å): 4.1163 7.1677 7.1928
angles (deg): 70.91 90.00 90.00
Last column: nearest neighbours and their distance in Å.
Atoms (fractional coordinates):
Ca (0.0000, 0.5000, 0.5000)  6 Se 2.93-2.94
Pm (0.5000, 0.5000, 0.0000)  6 Se 2.96-2.97
Y (0.0000, 0.0000, 0.0000)  6 Se 2.92
Y (0.5000, 0.0000, 0.5000)  6 Se 2.89
Se (0.0000, 0.7567, 0.7437)  3 Y 2.89-2.92, 1 Ca 2.93, 2 Pm 2.97
Se (0.0000, 0.2433, 0.2563)  3 Y 2.89-2.92, 1 Ca 2.93, 2 Pm 2.97
Se (0.5000, 0.7553, 0.2513)  3 Y 2.89-2.92, 2 Ca 2.94, 1 Pm 2.96
Se (0.5000, 0.2447, 0.7487)  3 Y 2.89-2.92, 2 Ca 2.94, 1 Pm 2.96

Summary:
Formation energy without anion corrections   -1.8389 eV/atom

=====

- Number 3 is which compound?
  Mg11In9Pd4

=====

What did the fourth record say?
This record from Alexandria describes a geometry-optimized CaPmY2Se4 structure. The functional is PBE.

a b c (Å): 4.1163 7.1677 7.1928
angles (deg): 70.91 90.00 90.00
Last column: nearest neighbours and their distance in Å.
Atoms (fractional coordinates):
Ca (0.0000, 0.5000, 0.5000)  6 Se 2.93-2.94
Pm (0.5000, 0.5000, 0.0000)  6 Se 2.96-2.97
Y (0.0000, 0.0000, 0.0000)  6 Se 2.92
Y (0.5000, 0.0000, 0.5000)  6 Se 2.89
Se (0.0000, 0.7567, 0.7437)  3 Y 2.89-2.92, 1 Ca 2.93, 2 Pm 2.97
Se (0.0000, 0.2433, 0.2563)  3 Y 2.89-2.92, 1 Ca 2.93, 2 Pm 2.97
Se (0.5000, 0.7553, 0.2513)  3 Y 2.89-2.92, 2 Ca 2.94, 1 Pm 2.96
Se (0.5000, 0.2447, 0.7487)  3 Y 2.89-2.92, 2 Ca 2.94, 1 Pm 2.96

Summary:
Formation energy without anion corrections   -1.8389 eV/atom